# 1
Here is a geometry-optimized ScTl2In2 structure from the Alexandria database. Energies are from PBE.

Calculated volume, Å³/atom: 27.1
Energy of formation, meV per atom: 90

Structure (POSCAR):
```
ScTl2In2
1.0
-1.796 6.639 -4.367
-7.844 -2.199 -0.117
-0.639 2.095 3.448
Sc Tl In
2 4 4
Direct
0.000 0.000 0.000
0.500 0.500 0.000
0.356 0.856 0.000
0.856 0.644 0.000
0.644 0.144 0.000
0.144 0.356 0.000
0.159 0.659 0.500
0.659 0.841 0.500
0.841 0.341 0.500
0.341 0.159 0.500
```


# 2
Here is a geometry-optimized Sr2AcAs structure from the Alexandria database. Energies are from PBE.

Calculated volume, Å³/atom: 46.5
Offset from the most stable computed form, meV per atom: 59.2
Energy of formation, meV per atom: -402

Structure (POSCAR):
```
Sr2AcAs
1.0
-0.606 3.904 -1.702
-1.474 0.388 -4.023
-11.586 1.483 2.087
Sr Ac As
2 1 1
Direct
0.118 0.118 0.646
0.882 0.882 0.354
0.000 0.000 0.000
0.500 0.500 0.500
```


# 3
Here is a geometry-optimized Dy3Si4Ni7 structure from the Alexandria database. Energies are from PBE.

Calculated volume, Å³/atom: 14.8
E_form (uncorrected), kJ/mol of atoms: -67.3

Structure (POSCAR):
```
Dy3Si4Ni7
1.0
-2.208 2.840 -1.414
-7.156 -2.301 1.272
-2.686 3.683 6.308
Dy Si Ni
3 4 7
Direct
0.323 0.181 0.172
0.677 0.819 0.828
0.000 0.500 0.500
0.664 0.452 0.220
0.336 0.548 0.780
0.888 0.895 0.328
0.112 0.105 0.672
0.311 0.849 0.529
0.494 0.234 0.778
0.836 0.407 0.922
0.689 0.151 0.471
0.164 0.593 0.078
0.000 0.000 0.000
0.506 0.766 0.222
```


# 4
Here is a geometry-optimized TlTc3 structure from the Alexandria database. Energies are from PBE.

Calculated volume, Å³/atom: 37.0
Offset from the most stable computed form, meV per atom: 3015.5
Energy of formation, meV per atom: 3430

Structure (POSCAR):
```
TlTc3
1.0
-3.158 -4.227 -0.379
4.033 -2.843 -1.907
1.320 -1.428 4.920
Tc Tl
3 1
Direct
0.500 0.000 0.000
0.000 0.500 0.000
0.000 0.000 0.500
0.000 0.000 0.000
```


# 5
Here is a geometry-optimized HoSc3Zn2 structure from the Alexandria database. Energies are from PBE.

Calculated volume, Å³/atom: 21.9
Offset from the most stable computed form, meV per atom: 0.0
Energy of formation, meV per atom: -241

Structure (POSCAR):
```
HoSc3Zn2
1.0
4.727 0.000 0.000
0.000 6.475 0.000
0.000 0.000 8.590
Ho Sc Zn
2 6 4
Direct
0.500 0.518 0.553
0.500 0.018 0.447
0.000 0.479 0.947
0.000 0.979 0.053
0.500 0.671 0.169
0.500 0.171 0.831
0.000 0.332 0.312
0.000 0.832 0.688
0.500 0.736 0.855
0.500 0.236 0.145
0.000 0.263 0.650
0.000 0.763 0.350
```


# 6
Here is a geometry-optimized ErHgTe structure from the Alexandria database. Energies are from PBE.

Calculated volume, Å³/atom: 37.2
E_form (uncorrected), kJ/mol of atoms: -63.5
Offset from the most stable computed form, meV per atom: 95.5

Structure (POSCAR):
```
ErHgTe
1.0
-2.915 1.566 2.670
0.605 -3.310 2.602
4.408 3.140 2.970
Er Hg Te
1 1 1
Direct
0.090 0.772 0.000
0.091 0.773 0.500
0.590 0.272 0.000
```